# 1
Entry from Alexandria: a relaxed Pm6ZnIn2 crystal (GGA-PBE).

abc: 4.522 8.356 8.354
angles: 120.01 90.00 90.00
Element x y z (fractional)
In: 0.000 0.333 0.667
Zn: 0.500 0.000 0.000
Pm: 0.000 0.747 0.747
Pm: 0.500 0.593 0.000
Pm: 0.500 0.000 0.593
Pm: 0.000 0.000 0.253
Pm: 0.500 0.407 0.407
Pm: 0.000 0.254 0.000
In: 0.000 0.667 0.333

N(E_F) in states/eV per cell: 11.776
Theoretical density in Mg/m³: 7.08
E_tot in eV per atom: -4.166

=====

# 2
Entry from Alexandria: a relaxed PmZn2In2 crystal (GGA-PBE).

abc: 5.411 5.411 5.342
angles: 108.73 108.73 111.46
Element x y z (fractional)
Zn: 0.362 0.362 0.723
In: 0.750 0.250 0.500
In: 0.250 0.750 0.500
Zn: 0.638 0.638 0.277
Pm: 0.000 0.000 0.000

N(E_F) in states/eV per cell: 3.870
Excess energy over the best structure of this formula in the dataset in meV/atom: 70
Theoretical density in Mg/m³: 7.02

=====

# 3
Entry from Alexandria: a relaxed Pm6ZnIn crystal (GGA-PBE).

abc: 5.197 5.197 9.803
angles: 74.63 74.63 90.00
Element x y z (fractional)
Zn: 0.000 0.000 0.000
Pm: 0.109 0.609 0.783
Pm: 0.749 0.749 0.501
Pm: 0.391 0.891 0.217
Pm: 0.251 0.251 0.499
Pm: 0.891 0.391 0.217
Pm: 0.609 0.109 0.783
In: 0.500 0.500 0.000

N(E_F) in states/eV per cell: 9.317
Theoretical density in Mg/m³: 7.11
E_tot in eV per atom: -4.240

=====

# 4
Entry from Alexandria: a relaxed PmZnIn crystal (GGA-PBE).

abc: 4.726 4.726 7.527
angles: 90.00 90.00 120.00
Element x y z (fractional)
Pm: 0.000 0.500 0.000
In: 0.333 0.167 0.250
Zn: 0.333 0.167 0.750
Pm: 0.000 0.500 0.500
Zn: 0.667 0.833 0.250
In: 0.667 0.833 0.750

N(E_F) in states/eV per cell: 3.696
Excess energy over the best structure of this formula in the dataset in meV/atom: 0
Theoretical density in Mg/m³: 7.42